1 | VASP calculation (GGA-PBE) on an optimized crystal structure of ScNi2HPt.

Lattice parameters (Å, degrees): 3.8609 3.8609 3.9050 90.00 90.00 90.00
Space group P4/mmm (No. 123)
Asymmetric unit:
Sc 0.0000 0.0000 0.0000
Ni 0.0000 0.5000 0.5000
H 0.5000 0.5000 0.5000
Pt 0.5000 0.5000 0.0000

2 | VASP calculation (GGA-PBE) on an optimized crystal structure of ScNi2HPt.

Lattice parameters (Å, degrees): 3.7260 3.7260 4.0460 90.00 90.00 90.00
Space group P4/mmm (No. 123)
Asymmetric unit:
Sc 0.0000 0.0000 0.0000
Ni 0.0000 0.5000 0.5000
H 0.0000 0.0000 0.5000
Pt 0.5000 0.5000 0.0000

Short version: 1 is the least stable of them.